Entry from OQMD via LeMat-Bulk: a relaxed NdReAsO crystal (PBE).

Cell: 4.013 4.013 8.832 Å, 90.00 90.00 90.00°
Space group P4/nmm (No. 129, origin choice 2)
Asymmetric unit:
1 Nd 0.250 0.250 0.136 [2 per cell]
2 Re 0.250 0.750 0.500 [2 per cell]
3 As 0.250 0.250 0.673 [2 per cell]
4 O 0.250 0.750 0.000 [2 per cell]

***

Entry from OQMD via LeMat-Bulk: a relaxed NdReAsO crystal (PBE).

Cell: 3.995 4.465 7.661 Å, 90.00 90.00 90.00°
Space group Pmc2_1 (No. 26)
Asymmetric unit:
1 Nd 0.000 0.250 0.000 [2 per cell]
2 Re 0.500 0.248 0.334 [2 per cell]
3 As 0.500 0.251 0.667 [2 per cell]
4 O 0.000 0.248 0.334 [2 per cell]

***

Entry from OQMD via LeMat-Bulk: a relaxed NdReAsO crystal (PBE).

Cell: 4.279 4.279 7.293 Å, 90.00 90.00 90.00°
Space group P4/nmm (No. 129, origin choice 2)
Asymmetric unit:
1 Nd 0.250 0.750 0.000 [2 per cell]
2 Re 0.250 0.250 0.381 [2 per cell]
3 As 0.250 0.250 0.717 [2 per cell]
4 O 0.250 0.750 0.500 [2 per cell]

***

Entry from OQMD via LeMat-Bulk: a relaxed NdReAsO crystal (PBE).

Cell: 4.157 6.436 5.704 Å, 90.00 90.00 90.00°
Space group Pmc2_1 (No. 26)
Asymmetric unit:
1 Nd 0.000 0.165 0.000 [2 per cell]
2 Re 0.500 0.453 0.761 [2 per cell]
3 As 0.000 0.328 0.513 [2 per cell]
4 O 0.500 0.275 0.067 [2 per cell]

***

Entry from OQMD via LeMat-Bulk: a relaxed NdSbAsO crystal (PBE).

Cell: 4.726 4.726 7.800 Å, 90.00 90.00 90.00°
Space group P4/nmm (No. 129, origin choice 2)
Asymmetric unit:
1 Nd 0.250 0.750 0.000 [2 per cell]
2 Sb 0.250 0.250 0.433 [2 per cell]
3 As 0.250 0.250 0.784 [2 per cell]
4 O 0.250 0.750 0.500 [2 per cell]

***

Entry from OQMD via LeMat-Bulk: a relaxed NdSbAsO crystal (PBE).

Cell: 4.145 4.145 10.504 Å, 90.00 90.00 90.00°
Space group P4/nmm (No. 129, origin choice 2)
Asymmetric unit:
1 Nd 0.250 0.250 0.108 [2 per cell]
2 Sb 0.250 0.750 0.500 [2 per cell]
3 As 0.250 0.250 0.725 [2 per cell]
4 O 0.250 0.750 0.000 [2 per cell]

***

Entry from OQMD via LeMat-Bulk: a relaxed NdSbAsO crystal (PBE).

Cell: 4.808 4.808 7.592 Å, 90.00 90.00 90.00°
Space group P4/nmm (No. 129, origin choice 2)
Asymmetric unit:
1 Nd 0.250 0.750 0.000 [2 per cell]
2 Sb 0.250 0.250 0.433 [2 per cell]
3 As 0.250 0.250 0.788 [2 per cell]
4 O 0.250 0.750 0.500 [2 per cell]

***

Entry from OQMD via LeMat-Bulk: a relaxed NdSbAsO crystal (PBE).

Cell: 4.157 8.121 6.159 Å, 90.00 90.00 90.00°
Space group Pmc2_1 (No. 26)
Asymmetric unit:
1 Nd 0.000 0.194 0.000 [2 per cell]
2 Sb 0.500 0.385 0.582 [2 per cell]
3 As 0.000 0.173 0.489 [2 per cell]
4 O 0.500 0.256 0.887 [2 per cell]

***

| no. | E_tot (eV/atom) |
| --- | --- |
| 1 | -8.2597 |
| 2 | -7.8335 |
| 3 | -6.5220 |
| 4 | -7.6315 |
| 5 | -5.2393 |
| 6 | -5.9877 |
| 7 | -5.2461 |
| 8 | -5.8136 |